Version one
Computed, not measured: an optimized crystal structure of CsP2OsCl at the PBE level of DFT.

abc: 4.565 4.565 6.171
angles: 90.00 90.00 90.00
Sites, in units of the cell vectors:
Cs 0.500 0.500 0.500
Cl 0.000 0.000 0.500
P 0.500 0.000 0.000
P 0.000 0.500 0.000
Os 0.000 0.000 0.000

ρ	5.4	Mg/m³
density of states at the Fermi level	2.5	states/eV per cell

=====

Version two
Computed, not measured: an optimized crystal structure of CsP2OsCl at the PBE level of DFT.

abc: 5.672 5.672 5.822
angles: 90.00 90.00 90.00
Last column: magnetic moment on the atom in μB.
Sites, in units of the cell vectors:
Cl 0.000 0.000 0.500  0.13
Os 0.500 0.500 0.500  0.17
P 0.500 0.000 0.000  0.38
P 0.000 0.500 0.000  0.38
Cs 0.000 0.000 0.000  0.00

ρ	3.7	Mg/m³
density of states at the Fermi level	8.6	states/eV per cell

=====

Least stable: version two

=====

Version one
Computed, not measured: an optimized crystal structure of CsOsS2Cl at the PBE level of DFT.

abc: 4.607 4.607 5.789
angles: 90.00 90.00 90.00
Sites, in units of the cell vectors:
Cs 0.500 0.500 0.500
Os 0.000 0.000 0.000
S 0.500 0.000 0.000
Cl 0.000 0.000 0.500
S 0.000 0.500 0.000

ρ	5.7	Mg/m³
density of states at the Fermi level	3.5	states/eV per cell

=====

Version two
Computed, not measured: an optimized crystal structure of CsOsS2Cl at the PBE level of DFT.

abc: 5.485 5.485 6.150
angles: 90.00 90.00 90.00
Last column: magnetic moment on the atom in μB.
Sites, in units of the cell vectors:
Cs 0.000 0.000 0.000  0.00
S 0.000 0.500 0.000  0.33
S 0.500 0.000 0.000  0.33
Os 0.500 0.500 0.500  3.96
Cl 0.000 0.000 0.500  0.16

ρ	3.8	Mg/m³
density of states at the Fermi level	4.4	states/eV per cell

=====

Least stable: version two

=====

Version one
Computed, not measured: an optimized crystal structure of CsPCl2 at the PBE level of DFT.

abc: 6.522 6.522 6.522
angles: 42.94 42.94 42.94
Sites, in units of the cell vectors:
Cl 0.791 0.791 0.791
Cl 0.209 0.209 0.209
Cs 0.000 0.000 0.000
P 0.500 0.500 0.500

ρ	3.3	Mg/m³
density of states at the Fermi level	0.0	states/eV per cell

=====

Version two
Computed, not measured: an optimized crystal structure of CsPCl2 at the PBE level of DFT.

abc: 5.571 5.571 5.571
angles: 60.00 60.00 60.00
Last column: magnetic moment on the atom in μB.
Sites, in units of the cell vectors:
Cs 0.500 0.500 0.500  0.01
Cl 0.250 0.250 0.250  0.04
P 0.000 0.000 0.000  0.87
Cl 0.750 0.750 0.750  0.04

ρ	3.2	Mg/m³
density of states at the Fermi level	12.5	states/eV per cell

=====

Least stable: version two

=====

Version one
Computed, not measured: an optimized crystal structure of CsP2Cl at the PBE level of DFT.

abc: 4.477 4.477 16.028
angles: 81.97 81.97 90.00
Sites, in units of the cell vectors:
Cs 0.000 0.000 0.000
P 0.875 0.625 0.750
P 0.375 0.625 0.750
Cl 0.250 0.750 0.500
Cs 0.750 0.250 0.500
P 0.375 0.125 0.250
Cl 0.500 0.500 0.000
P 0.375 0.625 0.250

ρ	2.4	Mg/m³
density of states at the Fermi level	3.0	states/eV per cell

=====

Version two
Computed, not measured: an optimized crystal structure of CsP2Cl at the PBE level of DFT.

abc: 5.330 5.330 5.330
angles: 60.00 60.00 60.00
Sites, in units of the cell vectors:
Cs 0.500 0.500 0.500
P 0.750 0.750 0.750
P 0.250 0.250 0.250
Cl 0.000 0.000 0.000

ρ	3.6	Mg/m³
density of states at the Fermi level	5.5	states/eV per cell

=====

Least stable: version two

=====

Version one
Computed, not measured: an optimized crystal structure of CsP2PbCl at the PBE level of DFT.

abc: 5.485 5.485 5.982
angles: 90.00 90.00 90.00
Last column: magnetic moment on the atom in μB.
Sites, in units of the cell vectors:
P 0.000 0.500 0.000  0.34
Cs 0.000 0.000 0.000  0.07
Pb 0.500 0.500 0.500  -0.05
P 0.500 0.000 0.000  0.34
Cl 0.000 0.000 0.500  0.02

ρ	4.0	Mg/m³
density of states at the Fermi level	5.0	states/eV per cell

=====

Version two
Computed, not measured: an optimized crystal structure of CsP2PbCl at the PBE level of DFT.

abc: 5.349 5.349 6.082
angles: 90.00 90.00 90.00
Last column: magnetic moment on the atom in μB.
Sites, in units of the cell vectors:
P 0.000 0.500 0.000  0.38
Pb 0.000 0.000 0.000  -0.01
Cl 0.000 0.000 0.500  0.03
P 0.500 0.000 0.000  0.38
Cs 0.500 0.500 0.500  0.01

ρ	4.2	Mg/m³
density of states at the Fermi level	4.0	states/eV per cell

=====

Least stable: version one

=====

Version one
Computed, not measured: an optimized crystal structure of CsRbPCl2 at the PBE level of DFT.

abc: 6.277 6.277 6.294
angles: 90.00 90.00 90.00
Last column: magnetic moment on the atom in μB.
Sites, in units of the cell vectors:
P 0.000 0.000 0.500  1.18
Rb 0.000 0.000 0.000  0.04
Cl 0.000 0.500 0.000  0.08
Cl 0.500 0.000 0.000  0.08
Cs 0.500 0.500 0.500  0.01

ρ	2.1	Mg/m³

=====

Version two
Computed, not measured: an optimized crystal structure of CsRbPCl2 at the PBE level of DFT.

abc: 6.411 6.411 5.813
angles: 90.00 90.00 90.00
Last column: magnetic moment on the atom in μB.
Sites, in units of the cell vectors:
P 0.000 0.000 0.500  0.77
Cl 0.500 0.000 0.000  0.05
Cs 0.000 0.000 0.000  0.01
Rb 0.500 0.500 0.500  0.00
Cl 0.000 0.500 0.000  0.05

ρ	2.2	Mg/m³
density of states at the Fermi level	0.9	states/eV per cell

=====

Least stable: version two

=====

Version one
Computed, not measured: an optimized crystal structure of CsReP2Cl at the PBE level of DFT.

abc: 5.389 5.389 5.576
angles: 90.00 90.00 90.00
Sites, in units of the cell vectors:
P 0.500 0.000 0.000
Cs 0.000 0.000 0.000
Cl 0.000 0.000 0.500
Re 0.500 0.500 0.500
P 0.000 0.500 0.000

ρ	4.3	Mg/m³
density of states at the Fermi level	17.0	states/eV per cell

=====

Version two
Computed, not measured: an optimized crystal structure of CsReP2Cl at the PBE level of DFT.

abc: 4.631 4.631 5.755
angles: 90.00 90.00 90.00
Sites, in units of the cell vectors:
P 0.000 0.500 0.000
Cl 0.000 0.000 0.500
P 0.500 0.000 0.000
Cs 0.500 0.500 0.500
Re 0.000 0.000 0.000

ρ	5.6	Mg/m³
density of states at the Fermi level	3.0	states/eV per cell

=====

Least stable: version one

=====

Version one
Computed, not measured: an optimized crystal structure of CsP2RhCl at the PBE level of DFT.

abc: 5.927 5.927 6.056
angles: 90.00 90.00 90.00
Last column: magnetic moment on the atom in μB.
Sites, in units of the cell vectors:
Cs 0.000 0.000 0.000  0.00
P 0.000 0.500 0.000  0.61
Rh 0.500 0.500 0.500  -0.24
P 0.500 0.000 0.000  0.61
Cl 0.000 0.000 0.500  0.10

ρ	2.6	Mg/m³
density of states at the Fermi level	18.7	states/eV per cell

=====

Version two
Computed, not measured: an optimized crystal structure of CsP2RhCl at the PBE level of DFT.

abc: 4.508 4.508 8.362
angles: 90.00 90.00 90.00
Last column: magnetic moment on the atom in μB.
Sites, in units of the cell vectors:
Cl 0.000 0.000 0.500  0.00
Rh 0.000 0.000 0.000  0.18
P 0.000 0.500 0.000  0.05
Cs 0.500 0.500 0.500  0.00
P 0.500 0.000 0.000  0.05

ρ	3.3	Mg/m³
density of states at the Fermi level	2.8	states/eV per cell

=====

Least stable: version one

=====

Version one
Computed, not measured: an optimized crystal structure of CsPS2Cl at the PBE level of DFT.

abc: 4.640 4.640 5.695
angles: 90.00 90.00 90.00
Sites, in units of the cell vectors:
S 0.000 0.500 0.000
S 0.500 0.000 0.000
P 0.000 0.000 0.000
Cs 0.500 0.500 0.500
Cl 0.000 0.000 0.500

ρ	3.6	Mg/m³
density of states at the Fermi level	1.3	states/eV per cell

=====

Version two
Computed, not measured: an optimized crystal structure of CsPS2Cl at the PBE level of DFT.

abc: 5.338 5.338 4.887
angles: 90.00 90.00 90.00
Last column: magnetic moment on the atom in μB.
Sites, in units of the cell vectors:
S 0.500 0.000 0.000  0.30
P 0.000 0.000 0.500  0.69
Cl 0.000 0.000 0.000  0.09
Cs 0.500 0.500 0.500  0.02
S 0.000 0.500 0.000  0.30

ρ	3.1	Mg/m³
density of states at the Fermi level	4.9	states/eV per cell

=====

Least stable: version two

=====

Version one
Computed, not measured: an optimized crystal structure of CsSbP2Cl at the PBE level of DFT.

abc: 5.984 5.984 5.948
angles: 90.00 90.00 90.00
Last column: magnetic moment on the atom in μB.
Sites, in units of the cell vectors:
Cs 0.000 0.000 0.000  0.00
Sb 0.500 0.500 0.500  -0.77
P 0.000 0.500 0.000  0.62
Cl 0.000 0.000 0.500  -0.01
P 0.500 0.000 0.000  0.62

ρ	2.7	Mg/m³
density of states at the Fermi level	3.0	states/eV per cell

=====

Version two
Computed, not measured: an optimized crystal structure of CsSbP2Cl at the PBE level of DFT.

abc: 5.132 5.132 6.107
angles: 90.00 90.00 90.00
Last column: magnetic moment on the atom in μB.
Sites, in units of the cell vectors:
P 0.000 0.500 0.000  0.17
Cs 0.500 0.500 0.500  0.00
Cl 0.000 0.000 0.500  0.01
Sb 0.000 0.000 0.000  0.00
P 0.500 0.000 0.000  0.17

ρ	3.6	Mg/m³
density of states at the Fermi level	4.3	states/eV per cell

=====

Least stable: version one

=====

Version one
Computed, not measured: an optimized crystal structure of CsP2SeCl at the PBE level of DFT.

abc: 6.129 6.129 6.493
angles: 90.00 90.00 90.00
Last column: magnetic moment on the atom in μB.
Sites, in units of the cell vectors:
Cs 0.000 0.000 0.000  0.01
Se 0.500 0.500 0.500  1.21
P 0.000 0.500 0.000  0.78
P 0.500 0.000 0.000  0.78
Cl 0.000 0.000 0.500  0.17

ρ	2.1	Mg/m³
density of states at the Fermi level	2.4	states/eV per cell

=====

Version two
Computed, not measured: an optimized crystal structure of CsP2SeCl at the PBE level of DFT.

abc: 4.796 4.796 7.851
angles: 90.00 90.00 90.00
Sites, in units of the cell vectors:
P 0.000 0.500 0.000
Cs 0.500 0.500 0.500
Se 0.000 0.000 0.000
P 0.500 0.000 0.000
Cl 0.000 0.000 0.500

ρ	2.8	Mg/m³
density of states at the Fermi level	2.8	states/eV per cell

=====

Least stable: version one

=====

Version one
Computed, not measured: an optimized crystal structure of CsSrP2Cl at the PBE level of DFT.

abc: 5.455 5.455 6.062
angles: 90.00 90.00 90.00
Last column: magnetic moment on the atom in μB.
Sites, in units of the cell vectors:
Cs 0.000 0.000 0.000  0.09
Sr 0.500 0.500 0.500  0.00
P 0.000 0.500 0.000  0.20
P 0.500 0.000 0.000  0.20
Cl 0.000 0.000 0.500  0.00

ρ	2.9	Mg/m³
density of states at the Fermi level	5.2	states/eV per cell

=====

Version two
Computed, not measured: an optimized crystal structure of CsSrP2Cl at the PBE level of DFT.

abc: 6.069 6.069 5.720
angles: 90.00 90.00 90.00
Last column: magnetic moment on the atom in μB.
Sites, in units of the cell vectors:
Cl 0.000 0.000 0.500  0.06
Sr 0.000 0.000 0.000  0.03
Cs 0.500 0.500 0.500  0.02
P 0.000 0.500 0.000  0.76
P 0.500 0.000 0.000  0.76

ρ	2.5	Mg/m³
density of states at the Fermi level	3.9	states/eV per cell

=====

Least stable: version one

=====

Version one
Computed, not measured: an optimized crystal structure of CsTcPCl2 at the PBE level of DFT.

abc: 5.907 5.907 5.682
angles: 90.00 90.00 90.00
Last column: magnetic moment on the atom in μB.
Sites, in units of the cell vectors:
P 0.000 0.000 0.500  0.15
Cs 0.000 0.000 0.000  0.05
Cl 0.500 0.000 0.000  0.08
Cl 0.000 0.500 0.000  0.08
Tc 0.500 0.500 0.500  4.11

ρ	2.8	Mg/m³
density of states at the Fermi level	9.3	states/eV per cell

=====

Version two
Computed, not measured: an optimized crystal structure of CsTcPCl2 at the PBE level of DFT.

abc: 5.321 5.321 4.582
angles: 90.00 90.00 90.00
Last column: magnetic moment on the atom in μB.
Sites, in units of the cell vectors:
Cs 0.500 0.500 0.500  0.00
Cl 0.500 0.000 0.000  0.02
Cl 0.000 0.500 0.000  0.02
P 0.000 0.000 0.500  -0.05
Tc 0.000 0.000 0.000  1.63

ρ	4.3	Mg/m³
density of states at the Fermi level	2.1	states/eV per cell

=====

Least stable: version one

=====

Version one
Computed, not measured: an optimized crystal structure of CsTcP2Cl at the PBE level of DFT.

abc: 4.621 4.621 5.805
angles: 90.00 90.00 90.00
Sites, in units of the cell vectors:
Tc 0.000 0.000 0.000
P 0.500 0.000 0.000
P 0.000 0.500 0.000
Cl 0.000 0.000 0.500
Cs 0.500 0.500 0.500

ρ	4.4	Mg/m³
density of states at the Fermi level	3.8	states/eV per cell

=====

Version two
Computed, not measured: an optimized crystal structure of CsTcP2Cl at the PBE level of DFT.

abc: 5.425 5.425 5.690
angles: 90.00 90.00 90.00
Sites, in units of the cell vectors:
Cs 0.000 0.000 0.000
Tc 0.500 0.500 0.500
P 0.000 0.500 0.000
P 0.500 0.000 0.000
Cl 0.000 0.000 0.500

ρ	3.3	Mg/m³
density of states at the Fermi level	18.9	states/eV per cell

=====

Least stable: version two